# AgPd4Au6 PBE-GGA relaxed
data_AgPd4Au6
_chemical_formula_sum 'Ag2 Pd8 Au12'
_space_group_name_H-M_alt 'I -4 2 m'
_space_group_IT_number 121
_space_group_name_Hall 'I -4 2'
_cell_length_a 6.381
_cell_length_b 6.381
_cell_length_c 10.755
_cell_angle_alpha 90.00
_cell_angle_beta 90.00
_cell_angle_gamma 90.00
loop_
_atom_site_label
_atom_site_type_symbol
_atom_site_fract_x
_atom_site_fract_y
_atom_site_fract_z
Ag1 Ag 0.000 0.000 0.000
Pd1 Pd 0.153 0.153 0.400
Au1 Au 0.000 0.500 0.000
Au2 Au 0.245 0.245 0.166
# Raw total energy, eV per atom: -3.72
# DFT formation energy, meV/atom: 220
# Density of states at the Fermi level, states/eV/f.u.: 3.754
# Size of the total moment, μB/atom: 0.000


# Pr4PPtBr2 PBE-GGA relaxed
data_Pr4PPtBr2
_chemical_formula_sum 'Pr4 P1 Pt1 Br2'
_space_group_name_H-M_alt 'P 1 2/m 1'
_space_group_IT_number 10
_space_group_name_Hall '-P 2y'
_cell_length_a 7.576
_cell_length_b 4.144
_cell_length_c 7.738
_cell_angle_alpha 90.00
_cell_angle_beta 107.49
_cell_angle_gamma 90.00
loop_
_atom_site_label
_atom_site_type_symbol
_atom_site_fract_x
_atom_site_fract_y
_atom_site_fract_z
Pr1 Pr 0.228 0.000 0.211
Pr2 Pr 0.271 0.500 0.794
P1 P 0.000 0.500 0.000
Pt1 Pt 0.500 0.000 0.000
Br1 Br 0.000 0.000 0.500
Br2 Br 0.500 0.500 0.500
# Raw total energy, eV per atom: -5.56
# Density of states at the Fermi level, states/eV/f.u.: 6.103
# Size of the total moment, μB/atom: 0.000


# Mg2BiH6 PBE-GGA relaxed
data_Mg2BiH6
_chemical_formula_sum 'Mg8 Bi4 H24'
_space_group_name_H-M_alt 'F m -3 m'
_space_group_IT_number 225
_space_group_name_Hall '-F 4 2 3'
_cell_length_a 7.646
_cell_length_b 7.646
_cell_length_c 7.646
_cell_angle_alpha 90.00
_cell_angle_beta 90.00
_cell_angle_gamma 90.00
loop_
_atom_site_label
_atom_site_type_symbol
_atom_site_fract_x
_atom_site_fract_y
_atom_site_fract_z
Mg1 Mg 0.250 0.250 0.250
Bi1 Bi 0.000 0.000 0.000
H1 H 0.000 0.000 0.273
# Raw total energy, eV per atom: -2.38
# Density of states at the Fermi level, states/eV/f.u.: 2.161
# Size of the total moment, μB/atom: 0.000


# Na4Pb3 PBE-GGA relaxed
data_Na4Pb3
_chemical_formula_sum 'Na8 Pb6'
_space_group_name_H-M_alt 'I 4/m m m'
_space_group_IT_number 139
_space_group_name_Hall '-I 4 2'
_cell_length_a 3.936
_cell_length_b 3.936
_cell_length_c 26.038
_cell_angle_alpha 90.00
_cell_angle_beta 90.00
_cell_angle_gamma 90.00
loop_
_atom_site_label
_atom_site_type_symbol
_atom_site_fract_x
_atom_site_fract_y
_atom_site_fract_z
Na1 Na 0.000 0.000 0.070
Na2 Na 0.000 0.000 0.211
Pb1 Pb 0.000 0.000 0.359
Pb2 Pb 0.000 0.000 0.500
# Raw total energy, eV per atom: -2.47
# DFT formation energy, meV/atom: -125
# Density of states at the Fermi level, states/eV/f.u.: 3.180
# Size of the total moment, μB/atom: 0.000


# YSnO3 PBE-GGA relaxed
data_YSnO3
_chemical_formula_sum 'Y4 Sn4 O12'
_space_group_name_H-M_alt 'P 1 21/c 1'
_space_group_IT_number 14
_space_group_name_Hall '-P 2ybc'
_cell_length_a 5.555
_cell_length_b 5.783
_cell_length_c 10.578
_cell_angle_alpha 90.00
_cell_angle_beta 119.81
_cell_angle_gamma 90.00
loop_
_atom_site_label
_atom_site_type_symbol
_atom_site_fract_x
_atom_site_fract_y
_atom_site_fract_z
Y1 Y 0.216 0.055 0.251
Sn1 Sn 0.000 0.000 0.500
Sn2 Sn 0.500 0.000 0.000
O1 O 0.075 0.222 0.893
O2 O 0.188 0.698 0.913
O3 O 0.374 0.099 0.698
# Raw total energy, eV per atom: -7.44
# Density of states at the Fermi level, states/eV/f.u.: 0.000
# Size of the total moment, μB/atom: 0.000


# SiAs2Cl PBE-GGA relaxed
data_SiAs2Cl
_chemical_formula_sum 'Si1 As2 Cl1'
_space_group_name_H-M_alt 'P 1 2/m 1'
_space_group_IT_number 10
_space_group_name_Hall '-P 2y'
_cell_length_a 4.909
_cell_length_b 3.715
_cell_length_c 4.982
_cell_angle_alpha 90.00
_cell_angle_beta 107.54
_cell_angle_gamma 90.00
loop_
_atom_site_label
_atom_site_type_symbol
_atom_site_fract_x
_atom_site_fract_y
_atom_site_fract_z
Si1 Si 0.000 0.000 0.000
As1 As 0.366 0.500 0.164
Cl1 Cl 0.000 0.000 0.500
# Raw total energy, eV per atom: -4.20
# Density of states at the Fermi level, states/eV/f.u.: 1.407
# Size of the total moment, μB/atom: 0.000


# CaPr5Te6 PBE-GGA relaxed
data_CaPr5Te6
_chemical_formula_sum 'Ca2 Pr10 Te12'
_space_group_name_H-M_alt 'C 1 2/m 1'
_space_group_IT_number 12
_space_group_name_Hall '-C 2y'
_cell_length_a 7.822
_cell_length_b 13.591
_cell_length_c 7.847
_cell_angle_alpha 90.00
_cell_angle_beta 109.44
_cell_angle_gamma 90.00
loop_
_atom_site_label
_atom_site_type_symbol
_atom_site_fract_x
_atom_site_fract_y
_atom_site_fract_z
Ca1 Ca 0.000 0.000 0.000
Pr1 Pr 0.000 0.170 0.500
Pr2 Pr 0.000 0.333 0.000
Pr3 Pr 0.000 0.500 0.500
Te1 Te 0.244 0.000 0.753
Te2 Te 0.245 0.163 0.246
# Raw total energy, eV per atom: -5.20
# Density of states at the Fermi level, states/eV/f.u.: 6.124
# Size of the total moment, μB/atom: 0.000


# CuNiSe2 PBE-GGA relaxed
data_CuNiSe2
_chemical_formula_sum 'Cu4 Ni4 Se8'
_space_group_name_H-M_alt 'C m c m'
_space_group_IT_number 63
_space_group_name_Hall '-C 2c 2'
_cell_length_a 4.131
_cell_length_b 16.309
_cell_length_c 4.588
_cell_angle_alpha 90.00
_cell_angle_beta 90.00
_cell_angle_gamma 90.00
loop_
_atom_site_label
_atom_site_type_symbol
_atom_site_fract_x
_atom_site_fract_y
_atom_site_fract_z
Cu1 Cu 0.000 0.122 0.250
Ni1 Ni 0.000 0.408 0.250
Se1 Se 0.000 0.266 0.250
Se2 Se 0.000 0.445 0.750
# Raw total energy, eV per atom: -4.15
# Density of states at the Fermi level, states/eV/f.u.: 2.377
# Size of the total moment, μB/atom: 0.000


# Mn3Nb4Se12 PBE-GGA relaxed
data_Mn3Nb4Se12
_chemical_formula_sum 'Mn6 Nb8 Se24'
_space_group_name_H-M_alt 'I m -3'
_space_group_IT_number 204
_space_group_name_Hall '-I 2 2 3'
_cell_length_a 9.688
_cell_length_b 9.688
_cell_length_c 9.688
_cell_angle_alpha 90.00
_cell_angle_beta 90.00
_cell_angle_gamma 90.00
loop_
_atom_site_label
_atom_site_type_symbol
_atom_site_fract_x
_atom_site_fract_y
_atom_site_fract_z
Mn1 Mn 0.000 0.000 0.500
Nb1 Nb 0.250 0.250 0.250
Se1 Se 0.000 0.178 0.312
# Raw total energy, eV per atom: -6.25
# Density of states at the Fermi level, states/eV/f.u.: 9.531
# Size of the total moment, μB/atom: 0.733


# AlSO2 PBE-GGA relaxed
data_AlSO2
_chemical_formula_sum 'Al3 S3 O6'
_space_group_name_H-M_alt 'R -3 m'
_space_group_IT_number 166
_space_group_name_Hall '-R 3 2"'
_cell_length_a 3.2234
_cell_length_b 3.2234
_cell_length_c 17.0435
_cell_angle_alpha 90.00
_cell_angle_beta 90.00
_cell_angle_gamma 120.00
loop_
_atom_site_label
_atom_site_type_symbol
_atom_site_fract_x
_atom_site_fract_y
_atom_site_fract_z
Al1 Al 0.0000 0.0000 0.0000
S1 S 0.0000 0.0000 0.5000
O1 O 0.0000 0.0000 0.1107
# Raw total energy, eV per atom: -4.54
# Density of states at the Fermi level, states/eV/f.u.: 1.900
# Size of the total moment, μB/atom: 0.000


# Ho4SiAsS2 PBE-GGA relaxed
data_Ho4SiAsS2
_chemical_formula_sum 'Ho4 Si1 As1 S2'
_space_group_name_H-M_alt 'P 1 2/m 1'
_space_group_IT_number 10
_space_group_name_Hall '-P 2y'
_cell_length_a 6.921
_cell_length_b 4.014
_cell_length_c 6.964
_cell_angle_alpha 90.00
_cell_angle_beta 109.50
_cell_angle_gamma 90.00
loop_
_atom_site_label
_atom_site_type_symbol
_atom_site_fract_x
_atom_site_fract_y
_atom_site_fract_z
Ho1 Ho 0.247 0.000 0.246
Ho2 Ho 0.247 0.500 0.753
Si1 Si 0.000 0.500 0.000
As1 As 0.000 0.000 0.500
S1 S 0.500 0.000 0.000
S2 S 0.500 0.500 0.500
# Raw total energy, eV per atom: -6.17
# Density of states at the Fermi level, states/eV/f.u.: 1.407
# Size of the total moment, μB/atom: 0.000


# Ca2Ga2Ag PBE-GGA relaxed
data_Ca2Ga2Ag
_chemical_formula_sum 'Ca4 Ga4 Ag2'
_space_group_name_H-M_alt 'P 4/m b m'
_space_group_IT_number 127
_space_group_name_Hall '-P 4 2ab'
_cell_length_a 8.680
_cell_length_b 8.680
_cell_length_c 3.479
_cell_angle_alpha 90.00
_cell_angle_beta 90.00
_cell_angle_gamma 90.00
loop_
_atom_site_label
_atom_site_type_symbol
_atom_site_fract_x
_atom_site_fract_y
_atom_site_fract_z
Ca1 Ca 0.191 0.309 0.000
Ga1 Ga 0.103 0.603 0.500
Ag1 Ag 0.000 0.000 0.000
# Raw total energy, eV per atom: -2.68
# DFT formation energy, meV/atom: -101
# Density of states at the Fermi level, states/eV/f.u.: 2.783
# Size of the total moment, μB/atom: 0.000